[1]
Entry from Alexandria: BaSiBr2 after structural relaxation (PBE).

Cell lengths 8.0000, 8.0000, 8.0000 Å; angles 90.00, 90.00, 90.00 degrees
Positions (direct):
Ba1 0.0000 0.0000 0.0000
Ba2 0.0000 0.5000 0.5000
Ba3 0.5000 0.0000 0.5000
Ba4 0.5000 0.5000 0.0000
Si1 0.2500 0.2500 0.7500
Si2 0.2500 0.7500 0.2500
Si3 0.7500 0.2500 0.2500
Si4 0.7500 0.7500 0.7500
Br1 0.0000 0.0000 0.5000
Br2 0.0000 0.5000 0.0000
Br3 0.2500 0.2500 0.2500
Br4 0.2500 0.7500 0.7500
Br5 0.5000 0.0000 0.0000
Br6 0.5000 0.5000 0.5000
Br7 0.7500 0.2500 0.7500
Br8 0.7500 0.7500 0.2500

Space group: F-43m (216)
Formation energy (no corrections) (eV per atom): -0.4153

[2]
Entry from Alexandria: Rb2TlHgAu after structural relaxation (PBE).

Cell lengths 6.7502, 6.7502, 5.3309 Å; angles 90.00, 90.00, 90.00 degrees
Positions (direct):
Rb1 0.0000 0.5000 0.0000
Rb2 0.5000 0.0000 0.0000
Tl1 0.0000 0.0000 0.5000
Hg1 0.5000 0.5000 0.5000
Au1 0.0000 0.0000 0.0000

DFT formation energy (eV per formula unit): -0.44
Space group: P4/mmm (123)

[3]
Entry from Alexandria: PmErPa after structural relaxation (PBE).

Cell lengths 3.4055, 3.4055, 15.3246 Å; angles 90.00, 90.00, 90.00 degrees
Positions (direct):
Pm1 0.0000 0.0000 0.0000
Pm2 0.5000 0.5000 0.5000
Er1 0.0000 0.0000 0.3113
Er2 0.5000 0.5000 0.8113
Pa1 0.0000 0.0000 0.6584
Pa2 0.5000 0.5000 0.1584

DFT formation energy (eV per formula unit): 0.49
Space group: I4mm (107)

[4]
Entry from Alexandria: TiMnCo2 after structural relaxation (PBE).

Cell lengths 3.5108, 3.5108, 16.4704 Å; angles 90.00, 90.00, 90.00 degrees
Positions (direct):
Ti1 0.0000 0.0000 0.0000
Ti2 0.0000 0.5000 0.2500
Ti3 0.5000 0.0000 0.7500
Ti4 0.5000 0.5000 0.5000
Mn1 0.0000 0.0000 0.5000
Mn2 0.0000 0.5000 0.7500
Mn3 0.5000 0.0000 0.2500
Mn4 0.5000 0.5000 0.0000
Co1 0.2339 0.2500 0.6250
Co2 0.2500 0.7339 0.8750
Co3 0.2500 0.7661 0.3750
Co4 0.2661 0.2500 0.1250
Co5 0.7339 0.7500 0.1250
Co6 0.7500 0.2339 0.3750
Co7 0.7500 0.2661 0.8750
Co8 0.7661 0.7500 0.6250

DFT formation energy (eV per formula unit): 1.61
Space group: I-42d (122)

[5]
Entry from Alexandria: Sm2B7Ir12 after structural relaxation (PBE).

Cell lengths 8.9688, 8.9688, 3.9616 Å; angles 90.00, 90.00, 120.00 degrees
Positions (direct):
Sm1 0.0000 0.0000 0.0000
Sm2 0.3333 0.6667 0.5000
B1 0.1015 0.4442 0.0000
B2 0.2689 0.2181 0.5000
B3 0.3427 0.8985 0.0000
B4 0.5558 0.6573 0.0000
B5 0.6667 0.3333 0.0000
B6 0.7819 0.0508 0.5000
B7 0.9492 0.7311 0.5000
Ir1 0.0635 0.2823 0.5000
Ir2 0.0890 0.6858 0.0000
Ir3 0.2188 0.9365 0.5000
Ir4 0.3142 0.4032 0.0000
Ir5 0.4025 0.1607 0.0000
Ir6 0.5332 0.4107 0.5000
Ir7 0.5893 0.1225 0.5000
Ir8 0.5968 0.9110 0.0000
Ir9 0.7177 0.7812 0.5000
Ir10 0.7582 0.5975 0.0000
Ir11 0.8393 0.2418 0.0000
Ir12 0.8775 0.4668 0.5000

DFT formation energy (eV per formula unit): -8.05
Space group: P-6 (174)

[6]
Entry from Alexandria: SrPm2Er3Te6 after structural relaxation (PBE).

Cell lengths 9.9555, 9.9555, 8.9345 Å; angles 104.10, 104.10, 25.55 degrees
Positions (direct):
Sr1 0.0000 0.0000 0.0000
Pm1 0.3263 0.3263 0.6518
Pm2 0.6737 0.6737 0.3482
Er1 0.0000 0.0000 0.5000
Er2 0.3338 0.3338 0.1759
Er3 0.6662 0.6662 0.8241
Te1 0.1609 0.1609 0.5900
Te2 0.1718 0.1718 0.0773
Te3 0.5000 0.5000 0.2630
Te4 0.5000 0.5000 0.7370
Te5 0.8282 0.8282 0.9227
Te6 0.8391 0.8391 0.4100

Space group: C2/m (12)
Formation energy (no corrections) (eV per atom): -1.3613

[7]
Entry from Alexandria: MgFeTe2N after structural relaxation (PBE).

Cell lengths 5.3972, 5.3972, 3.4206 Å; angles 90.00, 90.00, 90.00 degrees
Positions (direct):
Mg1 0.0000 0.0000 0.0000
Fe1 0.5000 0.5000 0.5000
Te1 0.0000 0.5000 0.5000
Te2 0.5000 0.0000 0.5000
N1 0.5000 0.5000 0.0000

Space group: P4/mmm (123)
Formation energy (no corrections) (eV per atom): 0.0272

[8]
Entry from Alexandria: Ca2Hf2Co after structural relaxation (PBE).

Cell lengths 6.5728, 6.5728, 5.4539 Å; angles 90.00, 90.00, 90.00 degrees
Positions (direct):
Ca1 0.1546 0.3454 0.0000
Ca2 0.3454 0.8454 0.0000
Ca3 0.6546 0.1546 0.0000
Ca4 0.8454 0.6546 0.0000
Hf1 0.1677 0.6677 0.5000
Hf2 0.3323 0.1677 0.5000
Hf3 0.6677 0.8323 0.5000
Hf4 0.8323 0.3323 0.5000
Co1 0.0000 0.0000 0.0000
Co2 0.5000 0.5000 0.0000

DFT formation energy (eV per formula unit): 4.15
Space group: P4/mbm (127)

[9]
Entry from Alexandria: Re2Ag after structural relaxation (PBE).

Cell lengths 4.0737, 11.5589, 4.1280 Å; angles 90.00, 90.00, 90.00 degrees
Positions (direct):
Re1 0.0000 0.1124 0.2500
Re2 0.0000 0.2510 0.7500
Re3 0.0000 0.7490 0.2500
Re4 0.0000 0.8876 0.7500
Re5 0.5000 0.2490 0.2500
Re6 0.5000 0.3876 0.7500
Re7 0.5000 0.6124 0.2500
Re8 0.5000 0.7510 0.7500
Ag1 0.0000 0.4240 0.2500
Ag2 0.0000 0.5760 0.7500
Ag3 0.5000 0.0760 0.7500
Ag4 0.5000 0.9240 0.2500

DFT formation energy (eV per formula unit): 1.44
Space group: Cmcm (63)

[10]
Entry from Alexandria: MnFeIr2 after structural relaxation (PBE).

Cell lengths 2.6735, 2.6735, 7.3050 Å; angles 90.00, 90.00, 90.00 degrees
Positions (direct):
Mn1 0.0000 0.0000 0.0000
Fe1 0.0000 0.0000 0.5000
Ir1 0.5000 0.5000 0.2430
Ir2 0.5000 0.5000 0.7570

DFT formation energy (eV per formula unit): -0.36
Space group: P4/mmm (123)

[11]
Entry from Alexandria: Er5SnIr4 after structural relaxation (PBE).

Cell lengths 3.3044, 3.3044, 19.1288 Å; angles 90.00, 90.00, 90.00 degrees
Positions (direct):
Er1 0.0000 0.0000 0.0000
Er2 0.0000 0.0000 0.1864
Er3 0.0000 0.0000 0.3723
Er4 0.0000 0.0000 0.6277
Er5 0.0000 0.0000 0.8136
Sn1 0.5000 0.5000 0.5000
Ir1 0.5000 0.5000 0.0934
Ir2 0.5000 0.5000 0.2825
Ir3 0.5000 0.5000 0.7175
Ir4 0.5000 0.5000 0.9066

DFT formation energy (eV per formula unit): -8.47
Space group: P4/mmm (123)

[12]
Entry from Alexandria: CuPtAu2Br after structural relaxation (PBE).

Cell lengths 5.2002, 5.2002, 4.8602 Å; angles 90.00, 90.00, 90.00 degrees
Positions (direct):
Cu1 0.0000 0.0000 0.0000
Pt1 0.5000 0.5000 0.5000
Au1 0.0000 0.5000 0.5000
Au2 0.5000 0.0000 0.5000
Br1 0.5000 0.5000 0.0000

Space group: P4/mmm (123)
Formation energy (no corrections) (eV per atom): 0.8378

[13]
Entry from Alexandria: NdIn3Au3 after structural relaxation (PBE).

Cell lengths 7.6197, 7.6197, 7.6197 Å; angles 68.68, 68.68, 68.68 degrees
Positions (direct):
Nd1 0.1649 0.1649 0.1649
Nd2 0.8351 0.8351 0.8351
In1 0.1013 0.7053 0.4008
In2 0.2947 0.5992 0.8987
In3 0.4008 0.1013 0.7053
In4 0.5992 0.8987 0.2947
In5 0.7053 0.4008 0.1013
In6 0.8987 0.2947 0.5992
Au1 0.0728 0.4242 0.7730
Au2 0.2270 0.9272 0.5758
Au3 0.4242 0.7730 0.0728
Au4 0.5758 0.2270 0.9272
Au5 0.7730 0.0728 0.4242
Au6 0.9272 0.5758 0.2270

DFT formation energy (eV per formula unit): -2.67
Space group: R-3 (148)

[14]
Entry from Alexandria: TbHgPdRh after structural relaxation (PBE).

Cell lengths 6.7241, 6.7241, 6.7241 Å; angles 90.00, 90.00, 90.00 degrees
Positions (direct):
Tb1 0.0000 0.0000 0.0000
Tb2 0.0000 0.5000 0.5000
Tb3 0.5000 0.0000 0.5000
Tb4 0.5000 0.5000 0.0000
Hg1 0.0000 0.0000 0.5000
Hg2 0.0000 0.5000 0.0000
Hg3 0.5000 0.0000 0.0000
Hg4 0.5000 0.5000 0.5000
Pd1 0.2500 0.2500 0.2500
Pd2 0.2500 0.7500 0.7500
Pd3 0.7500 0.2500 0.7500
Pd4 0.7500 0.7500 0.2500
Rh1 0.2500 0.2500 0.7500
Rh2 0.2500 0.7500 0.2500
Rh3 0.7500 0.2500 0.2500
Rh4 0.7500 0.7500 0.7500

DFT formation energy (eV per formula unit): -2.35
Space group: F-43m (216)

[15]
Entry from Alexandria: NbBi2P after structural relaxation (PBE).

Cell lengths 6.5016, 6.5016, 12.7546 Å; angles 90.00, 90.00, 90.00 degrees
Positions (direct):
Nb1 0.0000 0.0000 0.0000
Nb2 0.0000 0.5000 0.2500
Nb3 0.5000 0.0000 0.7500
Nb4 0.5000 0.5000 0.5000
Bi1 0.2420 0.2500 0.6250
Bi2 0.2500 0.7420 0.8750
Bi3 0.2500 0.7580 0.3750
Bi4 0.2580 0.2500 0.1250
Bi5 0.7420 0.7500 0.1250
Bi6 0.7500 0.2420 0.3750
Bi7 0.7500 0.2580 0.8750
Bi8 0.7580 0.7500 0.6250
P1 0.0000 0.0000 0.5000
P2 0.0000 0.5000 0.7500
P3 0.5000 0.0000 0.2500
P4 0.5000 0.5000 0.0000

DFT formation energy (eV per formula unit): 3.26
Space group: I-42d (122)

[16]
Entry from Alexandria: InHg5Pb3 after structural relaxation (PBE).

Cell lengths 8.6651, 8.6651, 3.8091 Å; angles 90.00, 90.00, 120.00 degrees
Positions (direct):
In1 0.0000 0.0000 0.0000
Hg1 0.0000 0.2845 0.5000
Hg2 0.2845 0.0000 0.5000
Hg3 0.3333 0.6667 0.5000
Hg4 0.6667 0.3333 0.5000
Hg5 0.7155 0.7155 0.5000
Pb1 0.0000 0.6175 0.0000
Pb2 0.3825 0.3825 0.0000
Pb3 0.6175 0.0000 0.0000

DFT formation energy (eV per formula unit): 0.35
Space group: P-62m (189)

[17]
Entry from Alexandria: ZnAsIrBr2 after structural relaxation (PBE).

Cell lengths 4.8924, 4.8924, 5.1186 Å; angles 90.00, 90.00, 90.00 degrees
Positions (direct):
Zn1 0.0000 0.0000 0.0000
As1 0.0000 0.0000 0.5000
Ir1 0.5000 0.5000 0.5000
Br1 0.0000 0.5000 0.0000
Br2 0.5000 0.0000 0.0000

Space group: P4/mmm (123)
Formation energy (no corrections) (eV per atom): 1.1437

[18]
Entry from Alexandria: RhIBr2 after structural relaxation (PBE).

Cell lengths 7.3813, 7.3813, 9.8900 Å; angles 90.00, 90.00, 90.00 degrees
Positions (direct):
Rh1 0.0000 0.0000 0.0000
Rh2 0.0000 0.5000 0.2500
Rh3 0.5000 0.0000 0.7500
Rh4 0.5000 0.5000 0.5000
I1 0.0000 0.0000 0.5000
I2 0.0000 0.5000 0.7500
I3 0.5000 0.0000 0.2500
I4 0.5000 0.5000 0.0000
Br1 0.1314 0.2500 0.1250
Br2 0.2500 0.6314 0.3750
Br3 0.2500 0.8686 0.8750
Br4 0.3686 0.2500 0.6250
Br5 0.6314 0.7500 0.6250
Br6 0.7500 0.1314 0.8750
Br7 0.7500 0.3686 0.3750
Br8 0.8686 0.7500 0.1250

Space group: I-42d (122)
Formation energy (no corrections) (eV per atom): 0.2578

[19]
Entry from Alexandria: NaSnPt2 after structural relaxation (PBE).

Cell lengths 3.1045, 3.1045, 29.2976 Å; angles 90.00, 90.00, 120.00 degrees
Positions (direct):
Na1 0.0000 0.0000 0.0000
Na2 0.3333 0.6667 0.6667
Na3 0.6667 0.3333 0.3333
Sn1 0.0000 0.0000 0.5000
Sn2 0.3333 0.6667 0.1667
Sn3 0.6667 0.3333 0.8333
Pt1 0.0000 0.0000 0.0954
Pt2 0.0000 0.0000 0.9046
Pt3 0.3333 0.6667 0.5713
Pt4 0.3333 0.6667 0.7621
Pt5 0.6667 0.3333 0.2379
Pt6 0.6667 0.3333 0.4287

DFT formation energy (eV per formula unit): 0.20
Space group: R-3m (166)

[20]
Entry from Alexandria: K2VIr2 after structural relaxation (PBE).

Cell lengths 6.3223, 6.3223, 5.7800 Å; angles 90.00, 90.00, 90.00 degrees
Positions (direct):
K1 0.1759 0.3241 0.0000
K2 0.3241 0.8241 0.0000
K3 0.6759 0.1759 0.0000
K4 0.8241 0.6759 0.0000
V1 0.0000 0.0000 0.5000
V2 0.5000 0.5000 0.5000
Ir1 0.1382 0.6382 0.5000
Ir2 0.3618 0.1382 0.5000
Ir3 0.6382 0.8618 0.5000
Ir4 0.8618 0.3618 0.5000

DFT formation energy (eV per formula unit): 2.34
Space group: P4/mbm (127)